Below is a relaxed BeZnCu crystal, with properties calculated at the PBE level.

The uncorrected energy is -2.9943 eV per atom. The calculated volume is 34.33 Å³/cell. The calculation puts the calculated density at 6.7 Mg/m³. Its offset from the most stable computed form is 58 meV per atom.

Lattice parameters (Å, degrees): 3.9686 3.9686 2.5170 90.00 90.00 120.00
Last column: nearest neighbours and their distance in Å.
Atoms (fractional coordinates):
1 Be 0.0000 0.0000 0.0000  3 Cu 2.38, 3 Zn 2.43, 2 Be 2.52
2 Zn 0.3333 0.6667 0.6805  3 Be 2.43, 2 Zn 2.52, 6 Cu 2.52-2.72
3 Cu 0.6667 0.3333 0.2605  3 Be 2.38, 2 Cu 2.52, 3 Zn 2.52

***

Below is a relaxed BeZn3Cu4 crystal, with properties calculated at the PBE level.

The uncorrected energy is -3.0836 eV per atom. The calculated volume is 97.72 Å³/cell. The calculation puts the calculated density at 7.8 Mg/m³.

Lattice parameters (Å, degrees): 2.6858 2.6858 13.5474 90.00 90.00 90.00
Last column: nearest neighbours and their distance in Å.
Atoms (fractional coordinates):
1 Be 0.0000 0.0000 0.0000  8 Cu 2.33
2 Zn 0.0000 0.0000 0.2328  8 Cu 2.62-2.63, 4 Zn 2.69
3 Zn 0.0000 0.0000 0.5000  8 Cu 2.62, 4 Zn 2.69
4 Zn 0.0000 0.0000 0.7672  8 Cu 2.62-2.63, 4 Zn 2.69
5 Cu 0.5000 0.5000 0.0990  4 Be 2.33
6 Cu 0.5000 0.5000 0.3664  8 Zn 2.62, 4 Cu 2.69
7 Cu 0.5000 0.5000 0.6336  8 Zn 2.62, 4 Cu 2.69
8 Cu 0.5000 0.5000 0.9010  4 Be 2.33

***

Below is a relaxed BeZnCu2 crystal, with properties calculated at the PBE level.

The uncorrected energy is -3.3201 eV per atom. The calculated volume is 46.01 Å³/cell. The calculation puts the calculated density at 7.3 Mg/m³. Its offset from the most stable computed form is 65 meV per atom.

Lattice parameters (Å, degrees): 2.8222 2.8222 5.7770 90.00 90.00 90.00
Last column: nearest neighbours and their distance in Å.
Atoms (fractional coordinates):
1 Be 0.0000 0.0000 0.0000  4 Cu 2.30, 4 Zn 2.49
2 Zn 0.5000 0.5000 0.7425  4 Be 2.49, 5 Cu 2.56-2.63
3 Cu 0.0000 0.0000 0.4655  8 Cu 2.53-2.82, 4 Zn 2.56, 1 Be 2.69
4 Cu 0.5000 0.5000 0.1969  4 Be 2.30, 4 Cu 2.53

***

Below is a relaxed BeZnCu crystal, with properties calculated at the PBE level.

The uncorrected energy is -2.9612 eV per atom. The calculated volume is 34.83 Å³/cell. The calculation puts the calculated density at 6.6 Mg/m³. Its offset from the most stable computed form is 91 meV per atom.

Lattice parameters (Å, degrees): 2.5770 2.5770 6.0567 90.00 90.00 120.00
Last column: nearest neighbours and their distance in Å.
Atoms (fractional coordinates):
1 Be 0.0000 0.0000 0.0000  3 Cu 2.35, 3 Zn 2.51, 6 Be 2.58
2 Zn 0.3333 0.6667 0.6656  3 Be 2.51, 6 Zn 2.58, 3 Cu 2.67
3 Cu 0.6667 0.3333 0.2997  3 Be 2.35, 6 Cu 2.58

***

Below is a relaxed BeZn2Cu2 crystal, with properties calculated at the PBE level.

The uncorrected energy is -2.7893 eV per atom. The calculated volume is 128.83 Å³/cell. The calculation puts the calculated density at 6.9 Mg/m³. Its offset from the most stable computed form is 0 meV per atom.

Lattice parameters (Å, degrees): 5.7964 5.7964 3.8345 90.00 90.00 90.00
Last column: nearest neighbours and their distance in Å.
Atoms (fractional coordinates):
1 Be 0.0000 0.0000 0.0000  4 Cu 2.21
2 Be 0.5000 0.5000 0.0000  4 Cu 2.21
3 Zn 0.1618 0.3382 0.5000  6 Cu 2.46-2.64, 1 Zn 2.65
4 Zn 0.3382 0.8382 0.5000  6 Cu 2.46-2.64, 1 Zn 2.65
5 Zn 0.6618 0.1618 0.5000  6 Cu 2.46-2.64, 1 Zn 2.65
6 Zn 0.8382 0.6618 0.5000  6 Cu 2.46-2.64, 1 Zn 2.65
7 Cu 0.1502 0.6502 0.0000  2 Be 2.21, 2 Zn 2.46, 1 Cu 2.46
8 Cu 0.3498 0.1502 0.0000  2 Be 2.21, 2 Zn 2.46, 1 Cu 2.46
9 Cu 0.6502 0.8498 0.0000  2 Be 2.21, 2 Zn 2.46, 1 Cu 2.46
10 Cu 0.8498 0.3498 0.0000  2 Be 2.21, 2 Zn 2.46, 1 Cu 2.46

***

Below is a relaxed BeZn2Cu6 crystal, with properties calculated at the PBE level.

The uncorrected energy is -3.4227 eV per atom. The calculated volume is 221.17 Å³/cell. The calculation puts the calculated density at 7.8 Mg/m³. Its offset from the most stable computed form is 0 meV per atom.

Lattice parameters (Å, degrees): 6.6921 6.6921 8.5873 115.20 115.20 40.18
Last column: nearest neighbours and their distance in Å.
Atoms (fractional coordinates):
1 Be 0.0853 0.9147 0.7500  6 Cu 2.23-2.41
2 Be 0.9147 0.0853 0.2500  6 Cu 2.23-2.41
3 Zn 0.1053 0.5320 0.8141  7 Cu 2.51-2.70, 1 Be 2.74, 2 Zn 2.78
4 Zn 0.4680 0.8947 0.6859  7 Cu 2.51-2.70, 1 Be 2.74, 2 Zn 2.78
5 Zn 0.5320 0.1053 0.3141  7 Cu 2.51-2.70, 1 Be 2.74, 2 Zn 2.78
6 Zn 0.8947 0.4680 0.1859  7 Cu 2.51-2.70, 1 Be 2.74, 2 Zn 2.78
7 Cu 0.1579 0.7199 0.4234  2 Be 2.41-2.62, 5 Cu 2.51-2.57, 1 Zn 2.65
8 Cu 0.1699 0.2101 0.4465  1 Be 2.23, 2 Cu 2.43-2.44
9 Cu 0.2101 0.1699 0.9465  1 Be 2.23, 2 Cu 2.43-2.44
10 Cu 0.2801 0.8421 0.0766  2 Be 2.41-2.62, 5 Cu 2.51-2.57, 1 Zn 2.65
11 Cu 0.3626 0.4416 0.1340  7 Cu 2.36-2.61, 1 Be 2.40, 2 Zn 2.51-2.58
12 Cu 0.4416 0.3626 0.6340  7 Cu 2.36-2.61, 1 Be 2.40, 2 Zn 2.51-2.58
13 Cu 0.5584 0.6374 0.3660  7 Cu 2.36-2.61, 1 Be 2.40, 2 Zn 2.51-2.58
14 Cu 0.6374 0.5584 0.8660  7 Cu 2.36-2.61, 1 Be 2.40, 2 Zn 2.51-2.58
15 Cu 0.7199 0.1579 0.9234  2 Be 2.41-2.62, 5 Cu 2.51-2.57, 1 Zn 2.65
16 Cu 0.7899 0.8301 0.0535  1 Be 2.23, 2 Cu 2.43-2.44
17 Cu 0.8301 0.7899 0.5535  1 Be 2.23, 2 Cu 2.43-2.44
18 Cu 0.8421 0.2801 0.5766  2 Be 2.41-2.62, 5 Cu 2.51-2.57, 1 Zn 2.65

***

Below is a relaxed BeZn2Cu crystal, with properties calculated at the PBE level.

The uncorrected energy is -2.5244 eV per atom. The calculated volume is 98.16 Å³/cell. The calculation puts the calculated density at 6.9 Mg/m³.

Lattice parameters (Å, degrees): 5.2111 7.0928 2.6559 90.00 90.00 90.00
Last column: nearest neighbours and their distance in Å.
Atoms (fractional coordinates):
1 Be 0.0000 0.0000 0.0000  8 Zn 2.57, 2 Cu 2.61, 2 Be 2.66
2 Be 0.5000 0.5000 0.0000  8 Zn 2.57, 2 Cu 2.61, 2 Be 2.66
3 Zn 0.2500 0.2500 0.5000  4 Be 2.57, 4 Cu 2.57, 4 Zn 2.61-2.66
4 Zn 0.2500 0.7500 0.5000  4 Be 2.57, 4 Cu 2.57, 4 Zn 2.61-2.66
5 Zn 0.7500 0.2500 0.5000  4 Be 2.57, 4 Cu 2.57, 4 Zn 2.61-2.66
6 Zn 0.7500 0.7500 0.5000  4 Be 2.57, 4 Cu 2.57, 4 Zn 2.61-2.66
7 Cu 0.0000 0.5000 0.0000  8 Zn 2.57, 2 Be 2.61, 2 Cu 2.66
8 Cu 0.5000 0.0000 0.0000  8 Zn 2.57, 2 Be 2.61, 2 Cu 2.66

***

Below is a relaxed BeZnCu crystal, with properties calculated at the PBE level.

The uncorrected energy is -3.0442 eV per atom. The calculated volume is 142.72 Å³/cell. The calculation puts the calculated density at 6.4 Mg/m³. Its offset from the most stable computed form is 8 meV per atom.

Lattice parameters (Å, degrees): 2.6731 2.6731 19.9745 90.00 90.00 90.00
Last column: nearest neighbours and their distance in Å.
Atoms (fractional coordinates):
1 Be 0.0000 0.0000 0.2219  4 Be 2.20, 5 Cu 2.32-2.46
2 Be 0.0000 0.0000 0.7781  4 Be 2.20, 5 Cu 2.32-2.46
3 Be 0.5000 0.5000 0.2781  4 Be 2.20, 5 Cu 2.32-2.46
4 Be 0.5000 0.5000 0.7219  4 Be 2.20, 5 Cu 2.32-2.46
5 Zn 0.0000 0.0000 0.0631  5 Zn 2.52-2.67, 4 Cu 2.63
6 Zn 0.0000 0.0000 0.9369  5 Zn 2.52-2.67, 4 Cu 2.63
7 Zn 0.5000 0.5000 0.4369  5 Zn 2.52-2.67, 4 Cu 2.63
8 Zn 0.5000 0.5000 0.5631  5 Zn 2.52-2.67, 4 Cu 2.63
9 Cu 0.0000 0.0000 0.3451  5 Be 2.32-2.46
10 Cu 0.0000 0.0000 0.6549  5 Be 2.32-2.46
11 Cu 0.5000 0.5000 0.1549  5 Be 2.32-2.46
12 Cu 0.5000 0.5000 0.8451  5 Be 2.32-2.46

***

Below is a relaxed Be2Zn2Cu crystal, with properties calculated at the PBE level.

The uncorrected energy is -2.6319 eV per atom. The calculated volume is 115.90 Å³/cell. The calculation puts the calculated density at 6.1 Mg/m³. Its offset from the most stable computed form is 0 meV per atom.

Lattice parameters (Å, degrees): 6.1942 6.1942 3.0207 90.00 90.00 90.00
Last column: nearest neighbours and their distance in Å.
Atoms (fractional coordinates):
1 Be 0.1314 0.3686 0.0000  1 Be 2.30, 6 Zn 2.33-2.39, 2 Cu 2.42
2 Be 0.3686 0.8686 0.0000  1 Be 2.30, 6 Zn 2.33-2.39, 2 Cu 2.42
3 Be 0.6314 0.1314 0.0000  1 Be 2.30, 6 Zn 2.33-2.39, 2 Cu 2.42
4 Be 0.8686 0.6314 0.0000  1 Be 2.30, 6 Zn 2.33-2.39, 2 Cu 2.42
5 Zn 0.1663 0.6663 0.5000  6 Be 2.33-2.39
6 Zn 0.3337 0.1663 0.5000  6 Be 2.33-2.39
7 Zn 0.6663 0.8337 0.5000  6 Be 2.33-2.39
8 Zn 0.8337 0.3337 0.5000  6 Be 2.33-2.39
9 Cu 0.0000 0.0000 0.0000  4 Be 2.42
10 Cu 0.5000 0.5000 0.0000  4 Be 2.42

***

Below is a relaxed BeZnCu2 crystal, with properties calculated at the PBE level.

The uncorrected energy is -3.3227 eV per atom. The calculated volume is 184.47 Å³/cell. The calculation puts the calculated density at 7.3 Mg/m³. Its offset from the most stable computed form is 62 meV per atom.

Lattice parameters (Å, degrees): 5.6925 5.6925 5.6925 90.00 90.00 90.00
Last column: nearest neighbours and their distance in Å.
Atoms (fractional coordinates):
1 Be 0.0000 0.0000 0.0000  8 Cu 2.46
2 Be 0.0000 0.5000 0.5000  8 Cu 2.46
3 Be 0.5000 0.0000 0.5000  8 Cu 2.46
4 Be 0.5000 0.5000 0.0000  8 Cu 2.46
5 Zn 0.0000 0.0000 0.5000  8 Cu 2.46
6 Zn 0.0000 0.5000 0.0000  8 Cu 2.46
7 Zn 0.5000 0.0000 0.0000  8 Cu 2.46
8 Zn 0.5000 0.5000 0.5000  8 Cu 2.46
9 Cu 0.2500 0.2500 0.2500  4 Be 2.46, 4 Zn 2.46
10 Cu 0.2500 0.2500 0.7500  4 Be 2.46, 4 Zn 2.46
11 Cu 0.2500 0.7500 0.2500  4 Be 2.46, 4 Zn 2.46
12 Cu 0.2500 0.7500 0.7500  4 Be 2.46, 4 Zn 2.46
13 Cu 0.7500 0.2500 0.2500  4 Be 2.46, 4 Zn 2.46
14 Cu 0.7500 0.2500 0.7500  4 Be 2.46, 4 Zn 2.46
15 Cu 0.7500 0.7500 0.2500  4 Be 2.46, 4 Zn 2.46
16 Cu 0.7500 0.7500 0.7500  4 Be 2.46, 4 Zn 2.46